An optimized crystal structure of DyGeAuS3. Source: the Open Quantum Materials Database, functional GGA-PBE.

V in Å³ per atom: 21.13
VASP energy in eV per cell: -58.9
Space-group type: Cmcm

abc: 10.4894 6.5713 6.5713
angles: 34.05 90.00 90.00
With the nearest neighbours (Å) after each atom.
Element x y z (fractional)
Au: 0.0000 0.4660 0.4660  4 S 2.45-2.62
Ge: 0.5000 0.2383 0.2383  6 S 2.73-2.99
S: 0.8106 0.3524 0.3524  1 Au 2.45
S: 0.5000 0.8923 0.8923  2 Au 2.62, 2 Ge 2.73
S: 0.6894 0.6476 0.6476  1 Au 2.45
Au: 0.5000 0.5340 0.5340  4 S 2.45-2.62
Dy: 0.7500 0.0000 0.0000  6 S 2.75-2.95
Ge: 0.0000 0.7617 0.7617  6 S 2.73-2.99
S: 0.0000 0.1077 0.1077  2 Au 2.62, 2 Ge 2.73
S: 0.1894 0.3524 0.3524  1 Au 2.45
Dy: 0.2500 0.0000 0.0000  6 S 2.75-2.95
S: 0.3106 0.6476 0.6476  1 Au 2.45

An optimized crystal structure of BeZn2Tc. Source: the Open Quantum Materials Database, functional GGA-PBE.

V in Å³ per atom: 12.61
VASP energy in eV per cell: -16.0
Space-group type: F-43m

abc: 4.1470 4.1470 4.1470
angles: 60.00 60.00 60.00
With the nearest neighbours (Å) after each atom.
Element x y z (fractional)
Be: 0.5000 0.5000 0.5000  4 Zn 2.54, 4 Tc 2.54
Zn: 0.7500 0.7500 0.7500  4 Be 2.54, 4 Zn 2.54
Tc: 0.2500 0.2500 0.2500  4 Be 2.54, 4 Zn 2.54
Zn: 0.0000 0.0000 0.0000  4 Tc 2.54, 4 Zn 2.54

An optimized crystal structure of TbDySi2Mo2C. Source: the Open Quantum Materials Database, functional GGA-PBE.

V in Å³ per atom: 17.68
VASP energy in eV per cell: -55.2
Space-group type: Cm

abc: 5.8931 5.8931 7.1591
angles: 123.49 123.49 37.80
With the nearest neighbours (Å) after each atom.
Element x y z (fractional)
Dy: 0.4252 0.4252 0.7041  2 C 2.60
Tb: 0.5751 0.5751 0.2965  2 C 2.61
C: 0.9998 0.9998 0.9992  2 Mo 2.01
Si: 0.8686 0.8686 0.3355  1 Si 2.47, 3 Mo 2.52-2.61
Mo: 0.7939 0.7939 0.9159  1 C 2.01
Mo: 0.2059 0.2059 0.0837  1 C 2.01
Si: 0.1316 0.1316 0.6651  1 Si 2.47, 3 Mo 2.52-2.60